Entry 1:
{"formula": "CsRbBiAu", "functional": "PBE", "state": "relaxed", "lattice": [[0.0000, 4.1210, 4.1210], [4.1210, 0.0000, 4.1210], [4.1210, 4.1210, 0.0000]], "species": ["Cs", "Rb", "Bi", "Au"], "frac_coords": [[0.0000, 0.0000, 0.0000], [0.7500, 0.7500, 0.7500], [0.5000, 0.5000, 0.5000], [0.2500, 0.2500, 0.2500]], "energy_ev_per_cell": -9.59, "space_group": "F-43m (216)", "crystal_system": "cubic", "de_polymorph_mev_per_atom": 313}

***

Entry 2:
{"formula": "ErTlCdTe3", "functional": "PBE", "state": "relaxed", "lattice": [[11.6618, 0.0000, 0.0000], [0.0000, 4.4465, 0.0000], [0.0000, 0.0000, 15.3608]], "species": ["Er", "Er", "Er", "Er", "Tl", "Tl", "Tl", "Tl", "Cd", "Cd", "Cd", "Cd", "Te", "Te", "Te", "Te", "Te", "Te", "Te", "Te", "Te", "Te", "Te", "Te"], "frac_coords": [[0.0117, 0.2500, 0.2475], [0.4883, 0.7500, 0.7475], [0.5117, 0.2500, 0.2525], [0.9883, 0.7500, 0.7525], [0.2348, 0.7500, 0.5109], [0.2652, 0.2500, 0.0109], [0.7348, 0.7500, 0.9891], [0.7652, 0.2500, 0.4891], [0.2412, 0.2500, 0.7140], [0.2588, 0.7500, 0.2140], [0.7412, 0.2500, 0.7860], [0.7588, 0.7500, 0.2860], [0.0366, 0.2500, 0.6167], [0.0592, 0.7500, 0.1116], [0.2390, 0.7500, 0.8311], [0.2610, 0.2500, 0.3311], [0.4408, 0.2500, 0.6116], [0.4634, 0.7500, 0.1167], [0.5366, 0.2500, 0.8833], [0.5592, 0.7500, 0.3884], [0.7390, 0.7500, 0.6689], [0.7610, 0.2500, 0.1689], [0.9408, 0.2500, 0.8884], [0.9634, 0.7500, 0.3833]], "energy_ev_per_cell": -88.28, "space_group": "Pnma (62)", "crystal_system": "orthorhombic", "de_polymorph_mev_per_atom": 1}

***

Entry 3:
{"formula": "TbHoBi2Te2", "functional": "PBE", "state": "relaxed", "lattice": [[4.3880, 0.0000, 0.0000], [0.0000, 4.3880, 0.0000], [0.0000, 0.0000, 9.3073]], "species": ["Tb", "Ho", "Bi", "Bi", "Te", "Te"], "frac_coords": [[0.0000, 0.0000, 0.0000], [0.5000, 0.5000, 0.5691], [0.0000, 0.5000, 0.2848], [0.5000, 0.0000, 0.2848], [0.0000, 0.0000, 0.6583], [0.5000, 0.5000, 0.9089]], "energy_ev_per_cell": -29.52, "space_group": "P4mm (99)", "crystal_system": "tetragonal"}

***

Copy entry 1 word for word.
{"formula": "CsRbBiAu", "functional": "PBE", "state": "relaxed", "lattice": [[0.0000, 4.1210, 4.1210], [4.1210, 0.0000, 4.1210], [4.1210, 4.1210, 0.0000]], "species": ["Cs", "Rb", "Bi", "Au"], "frac_coords": [[0.0000, 0.0000, 0.0000], [0.7500, 0.7500, 0.7500], [0.5000, 0.5000, 0.5000], [0.2500, 0.2500, 0.2500]], "energy_ev_per_cell": -9.59, "space_group": "F-43m (216)", "crystal_system": "cubic", "de_polymorph_mev_per_atom": 313}